No. 1
Here is an optimized crystal structure of MgFe2Tc from the Alexandria database. Energies are from PBE-GGA.

abc: 3.1670 4.2117 8.0773
angles: 90.00 90.00 90.00
With the nearest neighbours (Å) after each atom.
Positions (direct):
Mg 0.0000 0.0000 0.0000  4 Tc 2.63, 8 Fe 2.64-2.86
Mg 0.5000 0.5000 0.5000  4 Tc 2.63, 8 Fe 2.64-2.86
Fe 0.0000 0.5000 0.2392  2 Tc 2.50, 2 Mg 2.64, 4 Fe 2.64
Fe 0.0000 0.5000 0.7608  2 Tc 2.50, 2 Mg 2.64, 4 Fe 2.64
Fe 0.5000 0.0000 0.2608  2 Tc 2.50, 2 Mg 2.64, 4 Fe 2.64
Fe 0.5000 0.0000 0.7392  2 Tc 2.50, 2 Mg 2.64, 4 Fe 2.64
Tc 0.0000 0.0000 0.5000  4 Fe 2.50, 4 Mg 2.63
Tc 0.5000 0.5000 0.0000  4 Fe 2.50, 4 Mg 2.63

Computed properties:
Final energy in eV/cell: -55.31
Space-group type: Immm (71)
Formation energy in eV per atom: 0.308

No. 2
Here is an optimized crystal structure of MgFe2Tc2 from the Alexandria database. Energies are from PBE-GGA.

abc: 3.9864 3.9864 9.8196
angles: 90.00 90.00 90.00
With the nearest neighbours (Å) after each atom.
Positions (direct):
Mg 0.0000 0.0000 0.0000  8 Tc 3.06, 8 Fe 3.16
Mg 0.5000 0.5000 0.5000  8 Tc 3.06, 8 Fe 3.16
Fe 0.0000 0.5000 0.2500  4 Tc 2.35
Fe 0.0000 0.5000 0.7500  4 Tc 2.35
Fe 0.5000 0.0000 0.2500  4 Tc 2.35
Fe 0.5000 0.0000 0.7500  4 Tc 2.35
Tc 0.0000 0.0000 0.3775  4 Fe 2.35, 1 Tc 2.41
Tc 0.0000 0.0000 0.6225  4 Fe 2.35, 1 Tc 2.41
Tc 0.5000 0.5000 0.1225  4 Fe 2.35, 1 Tc 2.41
Tc 0.5000 0.5000 0.8775  4 Fe 2.35, 1 Tc 2.41

Computed properties:
Final energy in eV/cell: -74.37
Space-group type: I4/mmm (139)
Energy above the most stable polymorph in this dataset in meV per atom: 256
Formation energy in eV per atom: 0.413

No. 3
Here is an optimized crystal structure of MgFe2Tc from the Alexandria database. Energies are from PBE-GGA.

abc: 3.1168 4.2313 8.4456
angles: 90.00 90.00 90.00
With the nearest neighbours (Å) after each atom.
Positions (direct):
Mg 0.0000 0.0000 0.0000  4 Mg 2.63, 2 Fe 2.71, 2 Tc 2.81
Mg 0.5000 0.5000 0.0000  4 Mg 2.63, 2 Fe 2.71, 2 Tc 2.81
Fe 0.0000 0.0000 0.5175  6 Fe 2.43-2.63, 2 Tc 2.57
Fe 0.0000 0.5000 0.7380  6 Fe 2.43-2.63, 2 Mg 2.71
Fe 0.5000 0.0000 0.7380  6 Fe 2.43-2.63, 2 Mg 2.71
Fe 0.5000 0.5000 0.5175  6 Fe 2.43-2.63, 2 Tc 2.57
Tc 0.0000 0.5000 0.2762  2 Fe 2.57, 4 Tc 2.63, 2 Mg 2.81
Tc 0.5000 0.0000 0.2762  2 Fe 2.57, 4 Tc 2.63, 2 Mg 2.81

Computed properties:
Final energy in eV/cell: -56.17
Space-group type: Cmm2 (35)
Formation energy in eV per atom: 0.200

> Which formula does entry 3 have?

MgFe2Tc